# 1
Compound: Li3DyGe2
Source: the Alexandria database
Functional: PBE
Structure: relaxed

Unit cell a=4.247 b=7.571 c=8.322 alpha=60.01 beta=75.22 gamma=73.71
Element x y z (fractional)
Li (0.693, 0.090, 0.524)
Li (0.043, 0.286, 0.628)
Li (0.401, 0.506, 0.693)
Li (0.599, 0.494, 0.307)
Li (0.957, 0.714, 0.372)
Li (0.307, 0.910, 0.476)
Dy (0.148, 0.757, 0.946)
Dy (0.852, 0.243, 0.054)
Ge (0.527, 0.113, 0.833)
Ge (0.473, 0.887, 0.167)
Ge (0.198, 0.326, 0.279)
Ge (0.802, 0.674, 0.721)

Properties
Space group: C2/m

=====

# 2
Compound: LiDyGe
Source: the Alexandria database
Functional: PBE
Structure: relaxed

Unit cell a=3.970 b=3.970 c=4.972 alpha=113.53 beta=113.53 gamma=90.00
Element x y z (fractional)
Ge (0.270, 0.270, 0.539)
Dy (0.625, 0.625, 0.251)
Li (0.955, 0.955, 0.910)

Properties
Space group: I4mm

=====

# 3
Compound: Li2DyGe4
Source: the Alexandria database
Functional: PBE
Structure: relaxed

Unit cell a=5.659 b=5.558 c=5.558 alpha=74.98 beta=59.40 gamma=59.40
Element x y z (fractional)
Li (0.750, 0.500, 0.500)
Li (0.250, 0.500, 0.500)
Dy (0.000, 0.000, 0.000)
Ge (0.694, 0.000, 0.612)
Ge (0.306, 0.000, 0.388)
Ge (0.306, 0.388, 0.000)
Ge (0.694, 0.612, 0.000)

Properties
Space group: I4/mmm

=====

# 4
Compound: Li2Dy2Ge3
Source: the Alexandria database
Functional: PBE
Structure: relaxed

Unit cell a=4.306 b=6.825 c=9.406 alpha=90.00 beta=103.23 gamma=90.00
Element x y z (fractional)
Li (0.692, 0.938, 0.385)
Li (0.308, 0.062, 0.615)
Li (0.308, 0.438, 0.615)
Li (0.692, 0.562, 0.385)
Dy (0.156, 0.250, 0.312)
Dy (0.844, 0.750, 0.688)
Dy (0.947, 0.250, 0.894)
Dy (0.053, 0.750, 0.106)
Ge (0.222, 0.750, 0.443)
Ge (0.778, 0.250, 0.557)
Ge (0.564, 0.437, 0.128)
Ge (0.436, 0.563, 0.872)
Ge (0.436, 0.937, 0.872)
Ge (0.564, 0.063, 0.128)

Properties
Space group: Cmcm

=====

# 5
Compound: LiDyLuGe
Source: the Alexandria database
Functional: PBE
Structure: relaxed

Unit cell a=4.961 b=4.961 c=4.961 alpha=60.00 beta=60.00 gamma=60.00
Element x y z (fractional)
Ge (0.250, 0.250, 0.250)
Lu (0.000, 0.000, 0.000)
Li (0.750, 0.750, 0.750)
Dy (0.500, 0.500, 0.500)

Properties
Space group: F-43m

=====

# 6
Compound: Li2DyMgGe2
Source: the Alexandria database
Functional: PBE
Structure: relaxed

Unit cell a=4.384 b=4.384 c=6.690 alpha=90.00 beta=90.00 gamma=120.00
Element x y z (fractional)
Li (0.333, 0.667, 0.682)
Li (0.667, 0.333, 0.318)
Dy (0.000, 0.000, 0.000)
Mg (0.000, 0.000, 0.500)
Ge (0.333, 0.667, 0.246)
Ge (0.667, 0.333, 0.754)

Properties
Space group: P-3m1

=====

Asked for theoretical density across the records above, the calculation gives 4.95, 6.22, 5.99, 6.87, 8.02, 5.16 Mg/m³ in order.
Asked for spin magnetization across the records above, the calculation gives 0.0, 0.0, 0.0, 0.0, 0.0, 0.0 μB/f.u. in order.
Asked for energy relative to the elements across the records above, the calculation gives -0.493, -0.305, -0.387, -0.676, -0.382, -0.518 eV per atom in order.